No. 1
## Na2NiMoO (PBE with a Hubbard U)

Data for a relaxed structure of Na2NiMoO.

Crystal system: tetragonal
Energy in Ry/atom: -0.170
Mass density in g/cm³: 3.0

```
data_Na2NiMoO
_space_group_name_H-M_alt 'P 4/m m m'
_space_group_IT_number 123
_space_group_name_Hall '-P 4 2'
_cell_length_a 4.984
_cell_length_b 4.984
_cell_length_c 4.802
_cell_angle_alpha 90.00
_cell_angle_beta 90.00
_cell_angle_gamma 90.00
loop_
_atom_site_label
_atom_site_fract_x
_atom_site_fract_y
_atom_site_fract_z
_atom_site_occupancy
Na1 0.000 0.500 0.000 1
Ni1 0.000 0.000 0.000 1
Mo1 0.000 0.000 0.500 1
O1 0.500 0.500 0.500 1
```



No. 2
## NaNi2Mo2O10 (PBE with a Hubbard U)

Data for a relaxed structure of NaNi2Mo2O10.

Crystal system: monoclinic
Energy in Ry/atom: -0.430
Mass density in g/cm³: 4.0

```
data_NaNi2Mo2O10
_space_group_name_H-M_alt 'C 1 2/m 1'
_space_group_IT_number 12
_space_group_name_Hall '-C 2y'
_cell_length_a 9.880
_cell_length_b 5.922
_cell_length_c 8.047
_cell_angle_alpha 90.00
_cell_angle_beta 118.54
_cell_angle_gamma 90.00
loop_
_atom_site_label
_atom_site_fract_x
_atom_site_fract_y
_atom_site_fract_z
_atom_site_occupancy
Na1 0.000 0.000 0.000 1
Ni1 0.250 0.250 0.500 1
Mo1 0.067 0.500 0.757 1
O1 0.048 0.252 0.262 1
O2 0.157 0.500 0.597 1
O3 0.190 0.000 0.581 1
O4 0.221 0.500 0.984 1
```



No. 3
## Na2NiMoO4 (PBE with a Hubbard U)

Data for a relaxed structure of Na2NiMoO4.

Crystal system: monoclinic
Energy in Ry/atom: -0.401
Mass density in g/cm³: 4.6

```
data_Na2NiMoO4
_space_group_name_H-M_alt 'P 1 2/m 1'
_space_group_IT_number 10
_space_group_name_Hall '-P 2y'
_cell_length_a 5.900
_cell_length_b 3.001
_cell_length_c 5.995
_cell_angle_alpha 90.00
_cell_angle_beta 116.02
_cell_angle_gamma 90.00
loop_
_atom_site_label
_atom_site_fract_x
_atom_site_fract_y
_atom_site_fract_z
_atom_site_occupancy
Na1 0.000 0.000 0.000 1
Na2 0.500 0.500 0.000 1
Ni1 0.000 0.500 0.500 1
Mo1 0.500 0.000 0.500 1
O1 0.239 0.000 0.656 1
O2 0.301 0.500 0.252 1
```